## NaAl2GaFe (PBE)

Data for a relaxed NaAl2GaFe crystal.

Properties
DFT formation energy in kcal/mol of atoms: -2.4
Electronic total energy in eV/atom: -4.16
Total magnetic moment in μB/f.u.: 0.0
DOS at the Fermi energy in states/eV/f.u.: 1.067
V in Å³/cell: 94.3

```
data_NaAl2GaFe
_chemical_formula_sum 'Na1 Al2 Ga1 Fe1'
_space_group_name_H-M_alt 'P 4/m m m'
_space_group_IT_number 123
_space_group_name_Hall '-P 4 2'
_cell_length_a 4.534
_cell_length_b 4.534
_cell_length_c 4.588
_cell_angle_alpha 90.00
_cell_angle_beta 90.00
_cell_angle_gamma 90.00
loop_
_atom_site_label
_atom_site_fract_x
_atom_site_fract_y
_atom_site_fract_z
Na1 0.000 0.000 0.000
Al1 0.000 0.500 0.500
Ga1 0.500 0.500 0.000
Fe1 0.500 0.500 0.500
```

---

## TbPr2Ag2 (PBE)

Data for a relaxed TbPr2Ag2 crystal.

Properties
DFT formation energy in kcal/mol of atoms: -3.2
Electronic total energy in eV/atom: -4.12
Total magnetic moment in μB/f.u.: 0.4
DOS at the Fermi energy in states/eV/f.u.: 5.891
V in Å³/cell: 283.2
Energy above the lowest structure with this stoichiometry in meV per atom: 0

```
data_TbPr2Ag2
_chemical_formula_sum 'Tb2 Pr4 Ag4'
_space_group_name_H-M_alt 'C m m m'
_space_group_IT_number 65
_space_group_name_Hall '-C 2 2'
_cell_length_a 3.648
_cell_length_b 21.359
_cell_length_c 3.635
_cell_angle_alpha 90.00
_cell_angle_beta 90.00
_cell_angle_gamma 90.00
loop_
_atom_site_label
_atom_site_fract_x
_atom_site_fract_y
_atom_site_fract_z
Tb1 0.000 0.000 0.000
Pr1 0.000 0.177 0.000
Ag1 0.000 0.418 0.500
```

---

## KLa2Mn (PBE)

Data for a relaxed KLa2Mn crystal.

Properties
DFT formation energy in kcal/mol of atoms: 10.5
Electronic total energy in eV/atom: -4.58
Total magnetic moment in μB/f.u.: 0.5
DOS at the Fermi energy in states/eV/f.u.: 4.315
V in Å³/cell: 157.8
Energy above the lowest structure with this stoichiometry in meV per atom: 187

```
data_KLa2Mn
_chemical_formula_sum 'K1 La2 Mn1'
_space_group_name_H-M_alt 'P 4 m m'
_space_group_IT_number 99
_cell_length_a 3.971
_cell_length_b 3.971
_cell_length_c 10.009
_cell_angle_alpha 90.00
_cell_angle_beta 90.00
_cell_angle_gamma 90.00
loop_
_space_group_symop_operation_xyz
'x,y,z'
'-y,x,z'
'-x,-y,z'
'y,-x,z'
'-x,y,z'
'y,x,z'
'x,-y,z'
'-y,-x,z'
loop_
_atom_site_label
_atom_site_fract_x
_atom_site_fract_y
_atom_site_fract_z
K1 0.000 0.000 0.000
La1 0.000 0.000 0.602
La2 0.500 0.500 0.343
Mn1 0.500 0.500 0.561
```

---

## GaRhS2N (PBE)

Data for a relaxed GaRhS2N crystal.

Properties
Formation energy from raw total energies in eV/atom: 1.05
Electronic total energy in eV/atom: -4.34
Total magnetic moment in μB/f.u.: 0.0
DOS at the Fermi energy in states/eV/f.u.: 6.430
V in Å³/cell: 81.9
Energy above the lowest structure with this stoichiometry in meV per atom: 623

```
data_GaRhS2N
_chemical_formula_sum 'Ga1 Rh1 S2 N1'
_space_group_name_H-M_alt 'P 4/m m m'
_space_group_IT_number 123
_space_group_name_Hall '-P 4 2'
_cell_length_a 4.787
_cell_length_b 4.787
_cell_length_c 3.575
_cell_angle_alpha 90.00
_cell_angle_beta 90.00
_cell_angle_gamma 90.00
loop_
_atom_site_label
_atom_site_fract_x
_atom_site_fract_y
_atom_site_fract_z
Ga1 0.000 0.000 0.000
Rh1 0.500 0.500 0.500
S1 0.000 0.500 0.000
N1 0.000 0.000 0.500
```

---

## EuScTl (PBE)

Data for a relaxed EuScTl crystal.

Properties
DFT formation energy in kcal/mol of atoms: -3.6
Electronic total energy in eV/atom: -6.48
Total magnetic moment in μB/f.u.: 8.4
DOS at the Fermi energy in states/eV/f.u.: 3.850
V in Å³/cell: 173.6
Energy above the lowest structure with this stoichiometry in meV per atom: 0

```
data_EuScTl
_chemical_formula_sum 'Eu2 Sc2 Tl2'
_space_group_name_H-M_alt 'I 4 m m'
_space_group_IT_number 107
_space_group_name_Hall 'I 4 -2'
_cell_length_a 3.785
_cell_length_b 3.785
_cell_length_c 12.122
_cell_angle_alpha 90.00
_cell_angle_beta 90.00
_cell_angle_gamma 90.00
loop_
_atom_site_label
_atom_site_fract_x
_atom_site_fract_y
_atom_site_fract_z
Eu1 0.000 0.000 0.000
Sc1 0.000 0.000 0.305
Tl1 0.000 0.000 0.680
```

---

## Tb2Pr2Hg (PBE)

Data for a relaxed Tb2Pr2Hg crystal.

Properties
DFT formation energy in kcal/mol of atoms: -4.2
Electronic total energy in eV/atom: -4.01
Total magnetic moment in μB/f.u.: 0.4
DOS at the Fermi energy in states/eV/f.u.: 7.084
V in Å³/cell: 313.5
Energy above the lowest structure with this stoichiometry in meV per atom: 0

```
data_Tb2Pr2Hg
_chemical_formula_sum 'Tb4 Pr4 Hg2'
_space_group_name_H-M_alt 'I 4/m m m'
_space_group_IT_number 139
_space_group_name_Hall '-I 4 2'
_cell_length_a 3.673
_cell_length_b 3.673
_cell_length_c 23.237
_cell_angle_alpha 90.00
_cell_angle_beta 90.00
_cell_angle_gamma 90.00
loop_
_atom_site_label
_atom_site_fract_x
_atom_site_fract_y
_atom_site_fract_z
Tb1 0.000 0.000 0.083
Pr1 0.000 0.000 0.307
Hg1 0.000 0.000 0.500
```

---

## TbSm2Dy2Sc (PBE)

Data for a relaxed TbSm2Dy2Sc crystal.

Properties
DFT formation energy in kcal/mol of atoms: 2.1
Electronic total energy in eV/atom: -4.84
Total magnetic moment in μB/f.u.: 0.0
DOS at the Fermi energy in states/eV/f.u.: 9.499
V in Å³/cell: 370.4

```
data_TbSm2Dy2Sc
_chemical_formula_sum 'Tb2 Sm4 Dy4 Sc2'
_space_group_name_H-M_alt 'P m m a'
_space_group_IT_number 51
_cell_length_a 6.866
_cell_length_b 5.584
_cell_length_c 9.659
_cell_angle_alpha 90.00
_cell_angle_beta 90.00
_cell_angle_gamma 90.00
loop_
_space_group_symop_operation_xyz
'x,y,z'
'-x,-y,-z'
'-x+1/2,-y,z'
'x+1/2,y,-z'
'x+1/2,-y,-z'
'-x+1/2,y,z'
'-x,y,-z'
'x,-y,z'
loop_
_atom_site_label
_atom_site_fract_x
_atom_site_fract_y
_atom_site_fract_z
Tb1 0.250 0.000 0.151
Sm1 0.000 0.000 0.500
Sm2 0.250 0.500 0.686
Dy1 0.250 0.000 0.830
Dy2 0.250 0.500 0.338
Sc1 0.000 0.500 0.000
```

---

## Na5Te (PBE)

Data for a relaxed Na5Te crystal.

Properties
Formation energy from raw total energies in eV/atom: -0.35
Electronic total energy in eV/atom: -1.98
Total magnetic moment in μB/f.u.: 0.0
DOS at the Fermi energy in states/eV/f.u.: 1.544
V in Å³/cell: 373.9

```
data_Na5Te
_chemical_formula_sum 'Na10 Te2'
_space_group_name_H-M_alt 'C m m m'
_space_group_IT_number 65
_space_group_name_Hall '-C 2 2'
_cell_length_a 4.982
_cell_length_b 15.373
_cell_length_c 4.882
_cell_angle_alpha 90.00
_cell_angle_beta 90.00
_cell_angle_gamma 90.00
loop_
_atom_site_label
_atom_site_fract_x
_atom_site_fract_y
_atom_site_fract_z
Na1 0.000 0.000 0.000
Na2 0.000 0.156 0.500
Na3 0.000 0.340 0.000
Te1 0.000 0.500 0.500
```

---

Question: What is the formula in the first record?
Answer: NaAl2GaFe

---

Question: Among the records above, which one has the lowest electronic total energy?
Answer: EuScTl

---

Question: What is the V in the first record?
Answer: 94.3 Å³/cell

---

Question: electronic total energy of number 3 (KLa2Mn)?
Answer: -4.58 eV/atom